Computed, not measured: MgSc2C after structural relaxation at the PBE-GGA level of DFT.

The total energy is -4.92 eV/atom. The total magnetization comes out at 0.000 Bohr magnetons per cell.

The space group is R-3m (No. 166, hexagonal axes) and the conventional cell measures 3.2837, 3.2837 and 28.3460 Å, with angles of 90.00, 90.00 and 120.00 degrees. The distinct sites, in fractional coordinates, are Mg at (0.0000, 0.0000, 0.0000), Sc at (0.0000, 0.0000, 0.4253) and C at (0.0000, 0.0000, 0.5000).